VASP calculation (PBE) on crystalline Nd2Be3AgGe4 at its relaxed geometry.

a b c (Å): 4.1945 4.1945 9.9946
angles (deg): 90.00 90.00 90.00
Space group P-4m2 (No. 115)
Asymmetric unit:
Nd 0.0000 0.5000 0.2407 (multiplicity 2)
Be 0.0000 0.5000 0.8784 (multiplicity 2)
Be 0.5000 0.5000 0.5000 (multiplicity 1)
Ag 0.0000 0.0000 0.5000 (multiplicity 1)
Ge 0.0000 0.0000 0.0000 (multiplicity 1)
Ge 0.0000 0.5000 0.6498 (multiplicity 2)
Ge 0.5000 0.5000 0.0000 (multiplicity 1)

Summary:
**M_tot**: 0.0 μB per formula unit
**Energy of formation**: -0.353 eV/atom

VASP calculation (PBE) on crystalline BeNiAg2Ge at its relaxed geometry.

a b c (Å): 4.8082 4.8082 4.3668
angles (deg): 90.00 90.00 90.00
Space group P4/mmm (No. 123)
Asymmetric unit:
Be 0.0000 0.0000 0.0000 (multiplicity 1)
Ni 0.5000 0.5000 0.0000 (multiplicity 1)
Ag 0.0000 0.5000 0.5000 (multiplicity 2)
Ge 0.5000 0.5000 0.5000 (multiplicity 1)

Summary:
**M_tot**: 0.0 μB per formula unit
**Energy of formation**: 0.933 eV/atom

VASP calculation (PBE) on crystalline Be2Ag2GeO6 at its relaxed geometry.

a b c (Å): 5.0952 5.0952 5.5966
angles (deg): 90.00 90.00 120.00
Space group P-3 (No. 147)
Asymmetric unit:
Be 0.3333 0.6667 0.3334 (multiplicity 2)
Ag 0.3333 0.6667 0.8514 (multiplicity 2)
Ge 0.0000 0.0000 0.5000 (multiplicity 1)
O 0.0733 0.7364 0.3024 (multiplicity 6)

Summary:
**M_tot**: 2.1 μB per formula unit
**Energy relative to the elements, uncorrected**: -1.1646 eV per atom

VASP calculation (PBE) on crystalline BeAgGeO4 at its relaxed geometry.

a b c (Å): 4.8809 4.8809 7.3359
angles (deg): 90.00 90.00 90.00
Space group I-4 (No. 82)
Asymmetric unit:
Be 0.0000 0.0000 0.0000 (multiplicity 2)
Ag 0.0000 0.5000 0.2500 (multiplicity 2)
Ge 0.0000 0.5000 0.7500 (multiplicity 2)
O 0.1556 0.7654 0.8790 (multiplicity 8)

Summary:
**M_tot**: 0.9 μB per formula unit
**Energy relative to the elements, uncorrected**: -1.4265 eV per atom

VASP calculation (PBE) on crystalline Pm2Be3AgGe4 at its relaxed geometry.

a b c (Å): 4.1741 4.1741 9.9785
angles (deg): 90.00 90.00 90.00
Space group P-4m2 (No. 115)
Asymmetric unit:
Pm 0.0000 0.5000 0.2402 (multiplicity 2)
Be 0.0000 0.5000 0.8782 (multiplicity 2)
Be 0.5000 0.5000 0.5000 (multiplicity 1)
Ag 0.0000 0.0000 0.5000 (multiplicity 1)
Ge 0.0000 0.0000 0.0000 (multiplicity 1)
Ge 0.0000 0.5000 0.6506 (multiplicity 2)
Ge 0.5000 0.5000 0.0000 (multiplicity 1)

Summary:
**M_tot**: 0.0 μB per formula unit
**Energy of formation**: -0.352 eV/atom

VASP calculation (PBE) on crystalline Be2ReAgGe at its relaxed geometry.

a b c (Å): 4.1200 4.1200 5.1418
angles (deg): 90.00 90.00 90.00
Space group P4/mmm (No. 123)
Asymmetric unit:
Be 0.0000 0.5000 0.0000 (multiplicity 2)
Re 0.0000 0.0000 0.5000 (multiplicity 1)
Ag 0.0000 0.0000 0.0000 (multiplicity 1)
Ge 0.5000 0.5000 0.5000 (multiplicity 1)

Summary:
**M_tot**: 1.8 μB per formula unit
**Energy of formation**: 1.426 eV/atom

VASP calculation (PBE) on crystalline BeAg2SnGe at its relaxed geometry.

a b c (Å): 5.2308 5.2308 5.2935
angles (deg): 90.00 90.00 90.00
Space group P4/mmm (No. 123)
Asymmetric unit:
Be 0.0000 0.0000 0.0000 (multiplicity 1)
Ag 0.0000 0.5000 0.5000 (multiplicity 2)
Sn 0.5000 0.5000 0.5000 (multiplicity 1)
Ge 0.5000 0.5000 0.0000 (multiplicity 1)

Summary:
**M_tot**: 0.0 μB per formula unit
**Energy of formation**: 1.124 eV/atom

VASP calculation (PBE) on crystalline BeAgH2 at its relaxed geometry.

a b c (Å): 4.2011 4.2011 8.3886
angles (deg): 90.00 90.00 90.00
Space group I-42d (No. 122)
Asymmetric unit:
Be 0.0000 0.0000 0.0000 (multiplicity 4)
Ag 0.0000 0.0000 0.5000 (multiplicity 4)
H 0.0654 0.2500 0.1250 (multiplicity 8)

Summary:
**M_tot**: 0.0 μB per formula unit
**Electronic total energy**: -47.00 eV/cell

VASP calculation (PBE) on crystalline BeAg3H at its relaxed geometry.

a b c (Å): 4.0735 4.0735 4.0735
angles (deg): 90.00 90.00 90.00
Space group Pm-3m (No. 221)
Asymmetric unit:
Be 0.0000 0.0000 0.0000 (multiplicity 1)
Ag 0.0000 0.5000 0.5000 (multiplicity 3)
H 0.5000 0.5000 0.5000 (multiplicity 1)

Summary:
**M_tot**: 0.0 μB per formula unit
**Electronic total energy**: -13.73 eV/cell

VASP calculation (PBE) on crystalline BeAgH2 at its relaxed geometry.

a b c (Å): 5.2025 5.2025 5.2025
angles (deg): 90.00 90.00 90.00
Space group Fm-3m (No. 225)
Asymmetric unit:
Be 0.0000 0.0000 0.0000 (multiplicity 4)
Ag 0.0000 0.0000 0.5000 (multiplicity 4)
H 0.2500 0.2500 0.2500 (multiplicity 8)

Summary:
**M_tot**: 0.0 μB per formula unit
**Electronic total energy**: -38.79 eV/cell

VASP calculation (PBE) on crystalline BeAgH at its relaxed geometry.

a b c (Å): 3.9785 3.9844 9.4073
angles (deg): 90.00 98.79 90.00
Space group C2/m (No. 12)
Asymmetric unit:
Be 0.2279 0.0000 0.4397 (multiplicity 4)
Ag 0.1661 0.5000 0.2759 (multiplicity 4)
H 0.0035 0.5000 0.0423 (multiplicity 4)

Summary:
**M_tot**: 0.0 μB per formula unit
**Electronic total energy**: -36.95 eV/cell

VASP calculation (PBE) on crystalline HfBe2AgH at its relaxed geometry.

a b c (Å): 3.9893 3.9893 3.8082
angles (deg): 90.00 90.00 90.00
Space group P4/mmm (No. 123)
Asymmetric unit:
Hf 0.0000 0.0000 0.0000 (multiplicity 1)
Be 0.0000 0.5000 0.5000 (multiplicity 2)
Ag 0.5000 0.5000 0.0000 (multiplicity 1)
H 0.0000 0.0000 0.5000 (multiplicity 1)

Summary:
**M_tot**: 0.0 μB per formula unit
**Electronic total energy**: -22.83 eV/cell

VASP calculation (PBE) on crystalline HfBeAgH2 at its relaxed geometry.

a b c (Å): 3.7717 3.7717 4.4437
angles (deg): 90.00 90.00 90.00
Space group P4/mmm (No. 123)
Asymmetric unit:
Hf 0.0000 0.0000 0.0000 (multiplicity 1)
Be 0.5000 0.5000 0.5000 (multiplicity 1)
Ag 0.5000 0.5000 0.0000 (multiplicity 1)
H 0.0000 0.5000 0.5000 (multiplicity 2)

Summary:
**M_tot**: 0.0 μB per formula unit
**Electronic total energy**: -19.73 eV/cell

VASP calculation (PBE) on crystalline La2BeAgH at its relaxed geometry.

a b c (Å): 5.2662 5.2662 3.7379
angles (deg): 90.00 90.00 90.00
Space group P4/mmm (No. 123)
Asymmetric unit:
La 0.0000 0.5000 0.0000 (multiplicity 2)
Be 0.0000 0.0000 0.5000 (multiplicity 1)
Ag 0.5000 0.5000 0.5000 (multiplicity 1)
H 0.0000 0.0000 0.0000 (multiplicity 1)

Summary:
**M_tot**: 0.0 μB per formula unit
**Electronic total energy**: -20.29 eV/cell

VASP calculation (PBE) on crystalline NaBeAg2H at its relaxed geometry.

a b c (Å): 5.1834 5.1834 3.2829
angles (deg): 90.00 90.00 90.00
Space group P4/mmm (No. 123)
Asymmetric unit:
Na 0.0000 0.0000 0.0000 (multiplicity 1)
Be 0.5000 0.5000 0.5000 (multiplicity 1)
Ag 0.0000 0.5000 0.0000 (multiplicity 2)
H 0.0000 0.0000 0.5000 (multiplicity 1)

Summary:
**M_tot**: 0.0 μB per formula unit
**Electronic total energy**: -8.92 eV/cell

VASP calculation (PBE) on crystalline Na2BeAgH at its relaxed geometry.

a b c (Å): 4.9373 4.9373 3.4264
angles (deg): 90.00 90.00 90.00
Space group P4/mmm (No. 123)
Asymmetric unit:
Na 0.0000 0.5000 0.0000 (multiplicity 2)
Be 0.0000 0.0000 0.5000 (multiplicity 1)
Ag 0.5000 0.5000 0.5000 (multiplicity 1)
H 0.0000 0.0000 0.0000 (multiplicity 1)

Summary:
**M_tot**: 0.0 μB per formula unit
**Electronic total energy**: -10.89 eV/cell

VASP calculation (PBE) on crystalline BeNb2AgH at its relaxed geometry.

a b c (Å): 4.0659 4.0659 4.0114
angles (deg): 90.00 90.00 90.00
Space group P4/mmm (No. 123)
Asymmetric unit:
Be 0.0000 0.0000 0.0000 (multiplicity 1)
Nb 0.0000 0.5000 0.5000 (multiplicity 2)
Ag 0.5000 0.5000 0.0000 (multiplicity 1)
H 0.0000 0.0000 0.5000 (multiplicity 1)

Summary:
**M_tot**: 0.0 μB per formula unit
**Electronic total energy**: -29.26 eV/cell

VASP calculation (PBE) on crystalline ScBe2AgH at its relaxed geometry.

a b c (Å): 4.4923 4.4923 3.4724
angles (deg): 90.00 90.00 90.00
Space group P4/mmm (No. 123)
Asymmetric unit:
Sc 0.0000 0.0000 0.0000 (multiplicity 1)
Be 0.0000 0.5000 0.5000 (multiplicity 2)
Ag 0.5000 0.5000 0.5000 (multiplicity 1)
H 0.5000 0.5000 0.0000 (multiplicity 1)

Summary:
**M_tot**: 0.0 μB per formula unit
**Electronic total energy**: -17.36 eV/cell

VASP calculation (PBE) on crystalline Sr2BeAgH6 at its relaxed geometry.

a b c (Å): 7.6614 7.6870 5.3729
angles (deg): 90.00 134.47 90.00
Space group Cm (No. 8)
Asymmetric unit:
Sr 0.0000 0.2470 0.0000 (multiplicity 4)
Be 0.0024 0.0000 0.5023 (multiplicity 2)
Ag 0.4978 0.0000 0.4980 (multiplicity 2)
H 0.0047 0.2151 0.5045 (multiplicity 4)
H 0.2169 0.0000 0.9362 (multiplicity 2)
H 0.2195 0.0000 0.5006 (multiplicity 2)
H 0.2903 0.5000 0.5083 (multiplicity 2)
H 0.2930 0.5000 0.0737 (multiplicity 2)

Summary:
**M_tot**: 0.0 μB per formula unit
**Electronic total energy**: -64.26 eV/cell

VASP calculation (PBE) on crystalline SrBeAgH6 at its relaxed geometry.

a b c (Å): 4.5752 4.6571 4.9698
angles (deg): 97.83 96.85 110.68
Space group P1 (No. 1)
Asymmetric unit:
Sr 0.0000 0.0000 0.0000 (multiplicity 1)
Be 0.8186 0.3623 0.4695 (multiplicity 1)
Ag 0.4307 0.7331 0.4120 (multiplicity 1)
H 0.0266 0.2454 0.6086 (multiplicity 1)
H 0.4189 0.9361 0.7284 (multiplicity 1)
H 0.4507 0.5662 0.0856 (multiplicity 1)
H 0.5876 0.1098 0.2507 (multiplicity 1)
H 0.6913 0.5557 0.6295 (multiplicity 1)
H 0.9868 0.5094 0.2532 (multiplicity 1)

Summary:
**M_tot**: 0.0 μB per formula unit
**Electronic total energy**: -28.68 eV/cell